(1)
CoSbIr2: relaxed, PBE.

abc: 4.755 4.755 4.755
angles: 130.69 130.69 72.31
Element x y z (fractional)
Co (0.000, 0.000, 0.000)
Sb (0.750, 0.250, 0.500)
Ir (0.250, 0.750, 0.500)
Ir (0.500, 0.500, 0.000)

Properties
Symmetry   I-4m2, No. 119
Crystal system   tetragonal


(2)
CoSbIr2: relaxed, PBE.

abc: 2.907 3.778 5.623
angles: 90.00 90.08 90.00
Element x y z (fractional)
Co (0.000, 0.000, 0.000)
Sb (0.502, 0.500, 0.717)
Ir (0.002, 0.000, 0.466)
Ir (0.501, 0.500, 0.189)

Properties
Symmetry   Pm, No. 6
Crystal system   monoclinic


(3)
CoSbIr2: relaxed, PBE.

abc: 4.684 4.684 4.684
angles: 129.07 129.07 74.89
Element x y z (fractional)
Co (0.000, 0.000, 0.000)
Sb (0.500, 0.500, 0.000)
Ir (0.250, 0.750, 0.500)
Ir (0.750, 0.250, 0.500)

Properties
Symmetry   I4/mmm, No. 139
Crystal system   tetragonal


(4)
Co2SbIr: relaxed, PBE.

abc: 4.552 4.552 4.719
angles: 102.36 102.36 37.38
Element x y z (fractional)
Co (0.250, 0.250, 0.228)
Co (0.750, 0.750, 0.772)
Sb (0.000, 0.000, 0.500)
Ir (0.500, 0.500, 0.000)

Properties
Symmetry   C2/m, No. 12
Crystal system   monoclinic


no.,ΔE_f (raw) (meV per atom)
1,189
2,243
3,82
4,245